Record 1
La5SmTl6: optimized geometry, GGA-PBE.

Calculated values
Mass density = 9.19 g cm⁻³
DOS at the Fermi energy = 12.5 states/eV/cell
VASP energy = -4.045 eV per atom
Energy of formation from the pure elements = -0.416 eV/atom

Cell lengths 8.9116, 8.9116, 7.8640 Å; angles 90.00, 90.00, 143.17 degrees
Closest atoms and distances in Å follow each position.
Sites, in units of the cell vectors:
La 0.0000 0.0000 0.0000  8 Tl 3.41-3.45
La 0.3299 0.6701 0.0000  8 Tl 3.46-3.50
La 0.3337 0.6663 0.5000  8 Tl 3.41-3.47
La 0.6663 0.3337 0.5000  8 Tl 3.41-3.47
La 0.6701 0.3299 0.0000  8 Tl 3.46-3.50
Sm 0.0000 0.0000 0.5000  8 Tl 3.37-3.42
Tl 0.1633 0.8367 0.2552  1 Sm 3.37, 7 La 3.41-3.47
Tl 0.1633 0.8367 0.7448  1 Sm 3.37, 7 La 3.41-3.47
Tl 0.5000 0.5000 0.2531  6 La 3.42-3.50, 2 Sm 3.42
Tl 0.5000 0.5000 0.7469  6 La 3.42-3.50, 2 Sm 3.42
Tl 0.8367 0.1633 0.2552  1 Sm 3.37, 7 La 3.41-3.47
Tl 0.8367 0.1633 0.7448  1 Sm 3.37, 7 La 3.41-3.47

---

Record 2
La6Sm5Tl: optimized geometry, GGA-PBE.

Calculated values
Mass density = 7.20 g cm⁻³
DOS at the Fermi energy = 16.9 states/eV/cell
VASP energy = -4.669 eV per atom
Energy of formation from the pure elements = -0.042 eV/atom

Cell lengths 9.7146, 9.7146, 9.7146 Å; angles 149.36, 116.32, 72.32 degrees
Closest atoms and distances in Å follow each position.
Sites, in units of the cell vectors:
La 0.0795 0.3359 0.7436  7 Sm 3.58-3.69, 1 Tl 3.59, 4 La 3.64-3.72
La 0.2431 0.0000 0.2431  2 Tl 3.58, 4 La 3.64, 6 Sm 3.66-3.68
La 0.4077 0.6641 0.7436  7 Sm 3.58-3.69, 1 Tl 3.59, 4 La 3.64-3.72
La 0.5923 0.3359 0.2564  7 Sm 3.58-3.69, 1 Tl 3.59, 4 La 3.64-3.72
La 0.7569 0.0000 0.7569  2 Tl 3.58, 4 La 3.64, 6 Sm 3.66-3.68
La 0.9205 0.6641 0.2564  7 Sm 3.58-3.69, 1 Tl 3.59, 4 La 3.64-3.72
Sm 0.1706 0.1706 0.0000  8 La 3.58-3.69, 2 Sm 3.65, 2 Tl 3.71
Sm 0.3361 0.8361 0.5000  4 Sm 3.63-3.65, 8 La 3.67-3.68
Sm 0.5000 0.5000 0.0000  4 Sm 3.63, 8 La 3.68
Sm 0.6639 0.1639 0.5000  4 Sm 3.63-3.65, 8 La 3.67-3.68
Sm 0.8294 0.8294 0.0000  8 La 3.58-3.69, 2 Sm 3.65, 2 Tl 3.71
Tl 0.0000 0.5000 0.5000  8 La 3.58-3.59, 4 Sm 3.71

---

Record 3
La3SmTl3: optimized geometry, GGA-PBE.

Calculated values
Mass density = 8.48 g cm⁻³
DOS at the Fermi energy = 30.7 states/eV/cell
VASP energy = -4.115 eV per atom
Polymorph energy (0 for the lowest one) = 0.00 eV/f.u.
Energy of formation from the pure elements = -0.315 eV/atom

Cell lengths 9.7411, 9.7411, 9.7411 Å; angles 90.00, 90.00, 90.00 degrees
Closest atoms and distances in Å follow each position.
Sites, in units of the cell vectors:
La 0.0710 0.4290 0.5710  6 Tl 3.30-3.43
La 0.1725 0.8275 0.3275  6 Tl 3.30-3.48, 3 La 3.70
La 0.1747 0.1747 0.1747  6 Tl 3.28-3.51
La 0.3253 0.8253 0.6747  6 Tl 3.28-3.51
La 0.3275 0.1725 0.8275  6 Tl 3.30-3.48, 3 La 3.70
La 0.4290 0.5710 0.0710  6 Tl 3.30-3.43
La 0.5710 0.0710 0.4290  6 Tl 3.30-3.43
La 0.6725 0.6725 0.6725  6 Tl 3.30-3.48, 3 La 3.70
La 0.6747 0.3253 0.8253  6 Tl 3.28-3.51
La 0.8253 0.6747 0.3253  6 Tl 3.28-3.51
La 0.8275 0.3275 0.1725  6 Tl 3.30-3.48, 3 La 3.70
La 0.9290 0.9290 0.9290  6 Tl 3.30-3.43
Sm 0.0751 0.5751 0.9249  6 Tl 3.24-3.44
Sm 0.4249 0.4249 0.4249  6 Tl 3.24-3.44
Sm 0.5751 0.9249 0.0751  6 Tl 3.24-3.44
Sm 0.9249 0.0751 0.5751  6 Tl 3.24-3.44
Tl 0.0015 0.2550 0.8697  2 Sm 3.24-3.44, 6 La 3.28-3.51
Tl 0.1303 0.5015 0.2450  2 Sm 3.24-3.44, 6 La 3.28-3.51
Tl 0.2450 0.1303 0.5015  2 Sm 3.24-3.44, 6 La 3.28-3.51
Tl 0.2550 0.8697 0.0015  2 Sm 3.24-3.44, 6 La 3.28-3.51
Tl 0.3697 0.4985 0.7450  2 Sm 3.24-3.44, 6 La 3.28-3.51
Tl 0.4985 0.7450 0.3697  2 Sm 3.24-3.44, 6 La 3.28-3.51
Tl 0.5015 0.2450 0.1303  2 Sm 3.24-3.44, 6 La 3.28-3.51
Tl 0.6303 0.9985 0.7550  2 Sm 3.24-3.44, 6 La 3.28-3.51
Tl 0.7450 0.3697 0.4985  2 Sm 3.24-3.44, 6 La 3.28-3.51
Tl 0.7550 0.6303 0.9985  2 Sm 3.24-3.44, 6 La 3.28-3.51
Tl 0.8697 0.0015 0.2550  2 Sm 3.24-3.44, 6 La 3.28-3.51
Tl 0.9985 0.7550 0.6303  2 Sm 3.24-3.44, 6 La 3.28-3.51